Computed, not measured: ErPuCdPt after structural relaxation at the PBE-GGA level of DFT.

Cell lengths 5.0977, 5.0977, 5.0977 Å; angles 60.00, 60.00, 60.00 degrees
Element x y z (fractional)
Er1 0.0000 0.0000 0.0000
Pu1 0.5000 0.5000 0.5000
Cd1 0.7500 0.7500 0.7500
Pt1 0.2500 0.2500 0.2500

Summary:
Final energy (eV/cell): -27.81
Formation energy from the elements (eV per atom): -0.49
SG: F-43m (216)